Record 1
A relaxed structure of FeB3Au, computed with PBE-GGA.

## Properties
electronic total energy	-20.46	eV for the cell shown
formation energy from the elements	2263	meV per atom

CIF file:
```
data_FeB3Au
_symmetry_space_group_name_H-M 'P m -3 m'
_symmetry_Int_Tables_number 221
_symmetry_space_group_name_Hall '-P 4 2 3'
_cell_length_a 4.108
_cell_length_b 4.108
_cell_length_c 4.108
_cell_angle_alpha 90.00
_cell_angle_beta 90.00
_cell_angle_gamma 90.00
loop_
_atom_site_label
_atom_site_type_symbol
_atom_site_fract_x
_atom_site_fract_y
_atom_site_fract_z
Fe1 Fe 0.000 0.000 0.000
B1 B 0.000 0.500 0.500
Au1 Au 0.500 0.500 0.500
```

---

Record 2
A relaxed structure of FeB2Au, computed with PBE-GGA.

## Properties
electronic total energy	-86.75	eV for the cell shown
formation energy from the elements	852	meV per atom

CIF file:
```
data_FeB2Au
_symmetry_space_group_name_H-M 'F m -3 m'
_symmetry_Int_Tables_number 225
_symmetry_space_group_name_Hall '-F 4 2 3'
_cell_length_a 5.450
_cell_length_b 5.450
_cell_length_c 5.450
_cell_angle_alpha 90.00
_cell_angle_beta 90.00
_cell_angle_gamma 90.00
loop_
_atom_site_label
_atom_site_type_symbol
_atom_site_fract_x
_atom_site_fract_y
_atom_site_fract_z
Fe1 Fe 0.000 0.000 0.000
B1 B 0.250 0.250 0.250
Au1 Au 0.000 0.000 0.500
```

---

Record 3
A relaxed structure of Fe2BAu, computed with PBE-GGA.

## Properties
electronic total energy	-95.55	eV for the cell shown
formation energy from the elements	748	meV per atom

CIF file:
```
data_Fe2BAu
_symmetry_space_group_name_H-M 'I -4 2 d'
_symmetry_Int_Tables_number 122
_symmetry_space_group_name_Hall 'I -4 2bw'
_cell_length_a 4.329
_cell_length_b 4.329
_cell_length_c 12.735
_cell_angle_alpha 90.00
_cell_angle_beta 90.00
_cell_angle_gamma 90.00
loop_
_atom_site_label
_atom_site_type_symbol
_atom_site_fract_x
_atom_site_fract_y
_atom_site_fract_z
Fe1 Fe 0.119 0.250 0.125
B1 B 0.000 0.000 0.000
Au1 Au 0.000 0.000 0.500
```

---

Record 4
A relaxed structure of FeBAu2, computed with PBE-GGA.

## Properties
electronic total energy	-78.38	eV for the cell shown
formation energy from the elements	525	meV per atom

CIF file:
```
data_FeBAu2
_symmetry_space_group_name_H-M 'I -4 2 d'
_symmetry_Int_Tables_number 122
_symmetry_space_group_name_Hall 'I -4 2bw'
_cell_length_a 7.376
_cell_length_b 7.376
_cell_length_c 4.519
_cell_angle_alpha 90.00
_cell_angle_beta 90.00
_cell_angle_gamma 90.00
loop_
_atom_site_label
_atom_site_type_symbol
_atom_site_fract_x
_atom_site_fract_y
_atom_site_fract_z
Fe1 Fe 0.000 0.000 0.000
B1 B 0.000 0.000 0.500
Au1 Au 0.138 0.250 0.625
```

---

Record 5
A relaxed structure of FeB2Au, computed with PBE-GGA.

## Properties
electronic total energy	-88.44	eV for the cell shown
formation energy from the elements	746	meV per atom

CIF file:
```
data_FeB2Au
_symmetry_space_group_name_H-M 'I -4 2 d'
_symmetry_Int_Tables_number 122
_symmetry_space_group_name_Hall 'I -4 2bw'
_cell_length_a 4.716
_cell_length_b 4.716
_cell_length_c 9.334
_cell_angle_alpha 90.00
_cell_angle_beta 90.00
_cell_angle_gamma 90.00
loop_
_atom_site_label
_atom_site_type_symbol
_atom_site_fract_x
_atom_site_fract_y
_atom_site_fract_z
Fe1 Fe 0.000 0.000 0.000
B1 B 0.200 0.250 0.125
Au1 Au 0.000 0.000 0.500
```

---

Record 6
A relaxed structure of LiFeB2Au, computed with PBE-GGA.

## Properties
electronic total energy	-18.86	eV for the cell shown
formation energy from the elements	1631	meV per atom

CIF file:
```
data_LiFeB2Au
_symmetry_space_group_name_H-M 'P 4/m m m'
_symmetry_Int_Tables_number 123
_symmetry_space_group_name_Hall '-P 4 2'
_cell_length_a 3.809
_cell_length_b 3.809
_cell_length_c 3.732
_cell_angle_alpha 90.00
_cell_angle_beta 90.00
_cell_angle_gamma 90.00
loop_
_atom_site_label
_atom_site_type_symbol
_atom_site_fract_x
_atom_site_fract_y
_atom_site_fract_z
Li1 Li 0.000 0.000 0.000
Fe1 Fe 0.000 0.000 0.500
B1 B 0.000 0.500 0.000
Au1 Au 0.500 0.500 0.500
```

---

What is the formation energy from the elements in the fifth record? 746 meV per atom